No. 1
Entry from OQMD: a relaxed structure of Hf2ZrNi2As4Pd2 (GGA-PBE).

Computed properties:
Calculated volume = 191.1 Å³/cell
Space group = Pm
Total magnetic moment = 0.01 μB/cell
Excess energy over the best structure of this formula in the dataset = 0.032 eV/atom

a b c (Å): 6.5180 3.8851 7.5446
angles (deg): 90.00 90.16 90.00
With the nearest neighbours (Å) after each atom.
Fractional coordinates of all 11 atoms:
Pd  0.8573  0.5000  0.4481  4 As 2.48-2.61
Pd  0.6160  0.0000  0.9411  4 As 2.50-2.62, 2 Ni 2.73
Zr  0.0337  0.0000  0.1782  5 As 2.64-2.82
As  0.2481  0.5000  0.3755  3 Ni 2.46, 1 Pd 2.61, 2 Hf 2.73
As  0.7477  0.5000  0.1200  3 Pd 2.51-2.57, 1 Ni 2.56, 2 Zr 2.73
As  0.2222  0.0000  0.8689  3 Ni 2.39-2.60, 1 Pd 2.62, 1 Zr 2.64
As  0.7636  0.0000  0.6357  3 Pd 2.48-2.50, 1 Ni 2.62
Hf  0.4632  0.5000  0.6897  5 As 2.75-2.84, 2 Pd 2.89, 3 Ni 2.91-2.96
Hf  0.5353  0.0000  0.3186  5 As 2.73-2.82, 3 Pd 2.90-3.02, 2 Ni 2.96
Ni  0.1553  0.0000  0.5575  4 As 2.39-2.62
Ni  0.3598  0.5000  0.0641  4 As 2.46-2.60, 2 Pd 2.73

***

No. 2
Entry from OQMD: a relaxed structure of LuInCoCu (GGA-PBE).

Computed properties:
Calculated volume = 69.9 Å³/cell
Space group = F-43m
Total magnetic moment = 0.01 μB/cell
Excess energy over the best structure of this formula in the dataset = 0.250 eV/atom

a b c (Å): 4.6229 4.6229 4.6229
angles (deg): 60.00 60.00 60.00
With the nearest neighbours (Å) after each atom.
Fractional coordinates of all 4 atoms:
Co  0.7500  0.7500  0.7500  4 In 2.83, 4 Cu 2.83
In  0.0000  0.0000  0.0000  4 Co 2.83, 4 Lu 2.83
Cu  0.5000  0.5000  0.5000  4 Lu 2.83, 4 Co 2.83
Lu  0.2500  0.2500  0.2500  4 Cu 2.83, 4 In 2.83

***

> What is the total magnetic moment in the first record?

0.01 μB/cell

***

> Which of these has the highest excess energy over the best structure of this formula in the dataset?

LuInCoCu